Record 1
Compound: SrCd2Mo
Source: Alexandria
Functional: SCAN
Structure: PBEsol geometry

Cell and atoms, written as CIF:
```
data_SrCd2Mo
_chemical_formula_sum 'Sr1 Cd2 Mo1'
_cell_length_a 5.6597
_cell_length_b 2.8697
_cell_length_c 5.8699
_cell_angle_alpha 90.00
_cell_angle_beta 114.66
_cell_angle_gamma 90.00
_space_group_name_H-M_alt 'P 1 2/m 1'
_space_group_IT_number 10
_space_group_name_Hall '-P 2y'
loop_
_atom_site_label
_atom_site_type_symbol
_atom_site_fract_x
_atom_site_fract_y
_atom_site_fract_z
Sr1 Sr 0.0000 0.0000 0.0000
Cd1 Cd 0.5000 0.0000 0.5000
Cd2 Cd 0.5000 0.5000 0.0000
Mo1 Mo 0.0000 0.5000 0.5000
```

Computed properties:
Energy relative to the lowest polymorph listed for this composition = 151 meV per atom
Formation energy from the elements = 665 meV per atom

=====

Record 2
Compound: SrCd3Mo
Source: Alexandria
Functional: SCAN
Structure: PBEsol geometry

Cell and atoms, written as CIF:
```
data_SrCd3Mo
_chemical_formula_sum 'Sr1 Cd3 Mo1'
_cell_length_a 5.8398
_cell_length_b 5.8398
_cell_length_c 5.8398
_cell_angle_alpha 90.00
_cell_angle_beta 90.00
_cell_angle_gamma 90.00
_space_group_name_H-M_alt 'P m -3 m'
_space_group_IT_number 221
_space_group_name_Hall '-P 4 2 3'
loop_
_atom_site_label
_atom_site_type_symbol
_atom_site_fract_x
_atom_site_fract_y
_atom_site_fract_z
Sr1 Sr 0.0000 0.0000 0.0000
Cd1 Cd 0.0000 0.0000 0.5000
Mo1 Mo 0.5000 0.5000 0.5000
```

Computed properties:
Formation energy from the elements = 1518 meV per atom

=====

Record 3
Compound: SrCd2Mo
Source: Alexandria
Functional: SCAN
Structure: PBEsol geometry

Cell and atoms, written as CIF:
```
data_SrCd2Mo
_chemical_formula_sum 'Sr3 Cd6 Mo3'
_cell_length_a 3.0523
_cell_length_b 3.0523
_cell_length_c 31.4946
_cell_angle_alpha 90.00
_cell_angle_beta 90.00
_cell_angle_gamma 120.00
_space_group_name_H-M_alt 'R -3 m'
_space_group_IT_number 166
_space_group_name_Hall '-R 3 2"'
loop_
_atom_site_label
_atom_site_type_symbol
_atom_site_fract_x
_atom_site_fract_y
_atom_site_fract_z
Sr1 Sr 0.0000 0.0000 0.0000
Cd1 Cd 0.0000 0.0000 0.2410
Mo1 Mo 0.0000 0.0000 0.5000
```

Computed properties:
Energy relative to the lowest polymorph listed for this composition = 138 meV per atom
Formation energy from the elements = 652 meV per atom

=====

Which of these has the highest formation energy from the elements?
SrCd3Mo

=====

Which value of formation energy from the elements does entry 3 give?
652 meV per atom